CrOs2Au: relaxed, PBE.

## Properties
Space group = Immm, No. 71
ΔH_f (0 K) = 1.72 eV/f.u.

Unit cell a=5.477 b=5.477 c=5.477 alpha=150.89 beta=131.09 gamma=57.93
Each line ends with the local moment (μB).
Positions (direct):
Au 0.750 0.250 0.500  0.00
Cr 0.250 0.750 0.500  0.58
Os 0.035 0.035 0.000  -0.11
Os 0.465 0.465 0.000  -0.11

SrLiAu6: relaxed, PBE.

## Properties
Space group = Pm-3, No. 200
ΔH_f (0 K) = -2.42 eV/f.u.

Unit cell a=5.479 b=5.479 c=5.479 alpha=90.00 beta=90.00 gamma=90.00
Positions (direct):
Sr 0.500 0.500 0.500
Li 0.000 0.000 0.000
Au 0.500 0.755 0.000
Au 0.755 0.000 0.500
Au 0.000 0.500 0.245
Au 0.245 0.000 0.500
Au 0.500 0.245 0.000
Au 0.000 0.500 0.755

K3PbAu8: relaxed, PBE.

## Properties
Space group = R3m, No. 160
ΔH_f (0 K) = -2.70 eV/f.u.

Unit cell a=5.822 b=5.822 c=10.002 alpha=73.08 beta=73.08 gamma=60.00
Positions (direct):
K 0.374 0.374 0.879
K 0.001 0.001 0.997
K 0.500 0.500 0.501
Pb 0.879 0.879 0.364
Au 0.933 0.437 0.194
Au 0.442 0.938 0.683
Au 0.437 0.437 0.194
Au 0.938 0.938 0.683
Au 0.187 0.187 0.439
Au 0.687 0.687 0.940
Au 0.437 0.933 0.194
Au 0.938 0.442 0.683

Ba2Mg3: relaxed, PBE.

## Properties
Space group = R-3m, No. 166
ΔH_f (0 K) = 0.90 eV/f.u.

Unit cell a=14.020 b=14.020 c=14.020 alpha=16.63 beta=16.63 gamma=16.63
Positions (direct):
Ba 0.596 0.596 0.596
Ba 0.404 0.404 0.404
Mg 0.000 0.000 0.000
Mg 0.808 0.808 0.808
Mg 0.192 0.192 0.192

ScAs2Pb2O6: relaxed, PBE.

## Properties
Space group = C2/m, No. 12

Unit cell a=5.425 b=7.603 c=7.177 alpha=129.59 beta=90.00 gamma=110.90
Positions (direct):
Sc 0.500 0.000 0.500
As 0.940 0.879 0.753
As 0.060 0.121 0.247
Pb 0.714 0.428 0.112
Pb 0.286 0.572 0.888
O 0.702 0.404 0.792
O 0.233 0.965 0.247
O 0.267 0.035 0.753
O 0.767 0.035 0.753
O 0.733 0.965 0.247
O 0.298 0.596 0.208

CrSb2Os: relaxed, PBE.

## Properties
Space group = R-3m, No. 166

Unit cell a=8.542 b=8.542 c=8.542 alpha=21.60 beta=21.60 gamma=21.60
Each line ends with the local moment (μB).
Positions (direct):
Cr 0.250 0.250 0.250  2.65
Os 0.750 0.750 0.750  0.06
Sb 0.002 0.002 0.002  -0.01
Sb 0.498 0.498 0.498  -0.01

PuAl11Cu: relaxed, PBE.

## Properties
Space group = C2/m, No. 12
ΔH_f (0 K) = -1.37 eV/f.u.

Unit cell a=5.249 b=7.063 c=6.852 alpha=82.66 beta=67.48 gamma=70.52
Each line ends with the local moment (μB).
Positions (direct):
Pu 0.000 0.000 0.000  -5.27
Al 0.291 0.221 0.213  0.01
Al 0.709 0.779 0.787  0.01
Al 0.496 0.779 0.213  0.01
Al 0.504 0.221 0.787  0.01
Al 0.350 0.647 0.647  0.01
Al 0.650 0.353 0.353  0.01
Al 0.003 0.353 0.647  0.01
Al 0.997 0.647 0.353  0.01
Al 0.000 0.500 0.000  0.02
Al 0.500 0.000 0.500  0.01
Al 0.000 0.000 0.500  0.01
Cu 0.500 0.500 0.000  0.02

Number 1: density of states at the Fermi level 0.8042 states/eV/atom, energy -0.309 hartree per atom, ρ 17.5 g cm⁻³. Number 2: density of states at the Fermi level 0.3136 states/eV/atom, energy -0.118 hartree per atom, ρ 12.9 g cm⁻³. Number 3: density of states at the Fermi level 0.3205 states/eV/atom, energy -0.110 hartree per atom, ρ 11.4 g cm⁻³. Number 4: density of states at the Fermi level 0.9902 states/eV/atom, energy -0.057 hartree per atom, ρ 2.9 g cm⁻³. Number 5: density of states at the Fermi level 0.3015 states/eV/atom, energy -0.232 hartree per atom, ρ 5.8 g cm⁻³. Number 6: density of states at the Fermi level 0.8602 states/eV/atom, energy -0.247 hartree per atom, ρ 10.9 g cm⁻³. Number 7: density of states at the Fermi level 0.8432 states/eV/atom, energy -0.172 hartree per atom, ρ 4.5 g cm⁻³.